[1]
The following is a PBE calculation of KTc2C after structural relaxation, from Alexandria.

Cell: 6.343 6.343 6.343 Å, 60.00 60.00 60.00°
Atoms (fractional coordinates):
K 0.125 0.125 0.125
K 0.875 0.875 0.875
Tc 0.000 0.500 0.500
Tc 0.500 0.000 0.500
Tc 0.500 0.500 0.000
Tc 0.500 0.500 0.500
C 0.375 0.375 0.375
C 0.625 0.625 0.625

DFT total energy: -6.6422 eV/atom
magnetization: 5.9 Bohr magnetons per cell
formation enthalpy at 0 K: 1.121 eV/atom


[2]
The following is a PBE calculation of MnNi2Cl after structural relaxation, from Alexandria.

Cell: 7.723 2.954 6.151 Å, 90.00 95.39 90.00°
Atoms (fractional coordinates):
Mn 0.000 0.000 0.000
Mn 0.500 0.500 0.000
Ni 0.046 0.500 0.675
Ni 0.275 0.000 0.794
Ni 0.546 0.000 0.675
Ni 0.775 0.500 0.794
Cl 0.056 0.500 0.305
Cl 0.556 0.000 0.305

formation energy from raw total energies: 0.14 eV per atom
DFT total energy: -5.5052 eV/atom
magnetization: 10.5 Bohr magnetons per cell


[3]
The following is a PBE calculation of Th3AgBi after structural relaxation, from Alexandria.

Cell: 9.109 9.109 4.979 Å, 90.00 90.00 128.10°
Atoms (fractional coordinates):
Th 0.000 0.500 0.500
Th 0.168 0.832 0.000
Th 0.323 0.323 0.500
Th 0.500 0.000 0.500
Th 0.677 0.677 0.500
Th 0.832 0.168 0.000
Ag 0.083 0.917 0.500
Ag 0.917 0.083 0.500
Bi 0.371 0.629 0.000
Bi 0.629 0.371 0.000

DFT total energy: -5.6686 eV/atom
magnetization: 0.0 Bohr magnetons per cell
formation enthalpy at 0 K: 0.130 eV/atom


[4]
The following is a PBE calculation of IrSe2F after structural relaxation, from Alexandria.

Cell: 5.447 5.453 6.767 Å, 70.45 78.03 76.26°
Atoms (fractional coordinates):
Ir 0.182 0.182 0.499
Ir 0.818 0.818 0.501
Se 0.112 0.460 0.726
Se 0.416 0.769 0.726
Se 0.584 0.231 0.274
Se 0.888 0.540 0.274
F 0.163 0.938 0.312
F 0.837 0.062 0.688

formation energy from raw total energies: -0.57 eV per atom
DFT total energy: -4.9979 eV/atom
magnetization: 0.0 Bohr magnetons per cell


[5]
The following is a PBE calculation of Ce4Ge2Os after structural relaxation, from Alexandria.

Cell: 7.968 8.928 4.409 Å, 90.00 90.00 90.00°
Atoms (fractional coordinates):
Ce 0.173 0.000 0.000
Ce 0.250 0.250 0.500
Ce 0.250 0.750 0.500
Ce 0.327 0.500 0.000
Ce 0.673 0.500 0.000
Ce 0.750 0.250 0.500
Ce 0.750 0.750 0.500
Ce 0.827 0.000 0.000
Ge 0.000 0.321 0.000
Ge 0.000 0.679 0.000
Ge 0.500 0.179 0.000
Ge 0.500 0.821 0.000
Os 0.000 0.500 0.500
Os 0.500 0.000 0.500

DFT total energy: -6.7434 eV/atom
magnetization: 2.0 Bohr magnetons per cell
formation enthalpy at 0 K: -0.429 eV/atom


[6]
The following is a PBE calculation of YSb2Ir after structural relaxation, from Alexandria.

Cell: 3.839 3.839 6.203 Å, 90.00 90.00 90.00°
Atoms (fractional coordinates):
Y 0.000 0.000 0.000
Sb 0.000 0.000 0.478
Sb 0.500 0.500 0.778
Ir 0.500 0.500 0.328

formation energy from raw total energies: -0.32 eV per atom
DFT total energy: -6.2145 eV/atom
magnetization: 0.0 Bohr magnetons per cell


- Which value of DFT total energy does entry 3 give?
  -5.6686 eV/atom